Entry from Alexandria via LeMat-Bulk: a relaxed Pu3P2O3 crystal (PBE). Values from VASP.

```
&SYSTEM
  ibrav = 0, nat = 16, ntyp = 3
/
ATOMIC_SPECIES
O 16.00 O.upf
Pu 244.00 Pu.upf
P 30.97 P.upf
ATOMIC_POSITIONS crystal
O 0.7500 0.7614 0.7614
Pu 0.2500 0.0000 0.3130
O 0.2500 0.7614 0.0000
O 0.7500 0.0000 0.2386
O 0.2500 0.0000 0.7614
P 0.0000 0.3333 0.6667
P 0.5000 0.6667 0.3333
P 0.5000 0.3333 0.6667
O 0.2500 0.2386 0.2386
Pu 0.7500 0.0000 0.6870
Pu 0.7500 0.6870 0.0000
Pu 0.7500 0.3130 0.3130
Pu 0.2500 0.3130 0.0000
O 0.7500 0.2386 0.0000
Pu 0.2500 0.6870 0.6870
P 0.0000 0.6667 0.3333
CELL_PARAMETERS angstrom
4.7609 0.0000 0.0000
0.0000 7.9802 0.0000
0.0000 -3.9901 6.9110
```

Calculated values
energy: -10.73 eV per atom
M_tot: 28.00 Bohr magnetons per cell

Entry from Alexandria via LeMat-Bulk: a relaxed PuP2O6 crystal (PBE). Values from VASP.

```
&SYSTEM
  ibrav = 0, nat = 9, ntyp = 3
/
ATOMIC_SPECIES
O 16.00 O.upf
P 30.97 P.upf
Pu 244.00 Pu.upf
ATOMIC_POSITIONS crystal
O 0.4332 0.4366 0.2362
P 0.7249 0.7249 0.8254
Pu 0.3331 0.3331 0.0006
O 0.4366 0.8940 0.2362
O 0.8940 0.4332 0.2362
O 0.0512 0.5940 0.7642
O 0.5907 0.0512 0.7642
P 0.6081 0.6081 0.1756
O 0.5940 0.5907 0.7642
CELL_PARAMETERS angstrom
-5.5880 -0.3066 0.9278
-2.5478 -5.0580 0.3258
-1.7119 -1.9065 6.4019
```

Calculated values
excess energy over the best structure of this formula in the dataset: 0.0 kJ/mol of formula units
energy: -8.35 eV per atom
M_tot: 4.00 Bohr magnetons per cell

Entry from Alexandria via LeMat-Bulk: a relaxed PuPO crystal (PBE). Values from VASP.

```
&SYSTEM
  ibrav = 0, nat = 6, ntyp = 3
/
ATOMIC_SPECIES
Pu 244.00 Pu.upf
O 16.00 O.upf
P 30.97 P.upf
ATOMIC_POSITIONS crystal
Pu 0.3825 0.4928 0.6826
O 0.9804 0.4929 0.8786
Pu 0.0786 0.9929 0.0750
O 0.4806 0.9929 0.8791
P 0.7705 0.9929 0.4585
P 0.6906 0.4929 0.2992
CELL_PARAMETERS angstrom
3.7663 -0.4553 -0.5449
0.4790 3.9646 -0.0016
-0.9912 0.1221 6.5224
```

Calculated values
excess energy over the best structure of this formula in the dataset: 0.0 kJ/mol of formula units
energy: -10.24 eV per atom
M_tot: 9.29 Bohr magnetons per cell

Entry from Alexandria via LeMat-Bulk: a relaxed Pu3P2O crystal (PBE). Values from VASP.

```
&SYSTEM
  ibrav = 0, nat = 12, ntyp = 3
/
ATOMIC_SPECIES
O 16.00 O.upf
Pu 244.00 Pu.upf
P 30.97 P.upf
ATOMIC_POSITIONS crystal
O 0.0463 0.2500 0.0000
Pu 0.5242 0.7500 0.0000
Pu 0.1466 0.5732 0.2927
P 0.3236 0.4124 0.6496
Pu 0.4758 0.2500 0.0000
P 0.6740 0.0876 0.3504
P 0.6764 0.5876 0.3504
P 0.3260 0.9124 0.6496
Pu 0.8539 0.9268 0.7073
O 0.9537 0.7500 0.0000
Pu 0.1461 0.0732 0.2927
Pu 0.8534 0.4268 0.7073
CELL_PARAMETERS angstrom
-5.5105 -0.2432 0.5988
0.6133 -7.0928 2.7625
3.0868 4.0093 4.3302
```

Calculated values
excess energy over the best structure of this formula in the dataset: 0.0 kJ/mol of formula units
energy: -11.35 eV per atom
M_tot: 31.54 Bohr magnetons per cell

> Among the records above, which one has the lowest M_tot?

PuP2O6

> Among the records above, which one has the highest energy?

PuP2O6

> Which value of energy does entry 1 give?

-10.73 eV per atom